A relaxed structure of Cs3TeI. Source: the Alexandria database, functional GGA-PBE.

a = 10.644 Å, b = 9.646 Å, c = 13.956 Å
α = 90.00°, β = 95.35°, γ = 90.00°
Space group P2_1/c (No. 14)
Inequivalent atoms, fractional coordinates:
Cs (0.044, 0.048, 0.307)
Cs (0.216, 0.628, 0.506)
Cs (0.421, 0.074, 0.682)
Te (0.271, 0.749, 0.260)
I (0.132, 0.246, 0.550)

Summary:
Offset from the most stable computed form, eV/f.u.: 0.00
Uncorrected formation energy, meV per atom: -1174
Total energy, Ry/atom: -0.1929